No. 1
First-principles (PBE) data for a relaxed KHoCuBr5 crystal, as listed in the Alexandria database.

Properties
- Energy: -3.69 eV/atom
- Magnetization: 0.018 μB per atom
- Symmetry: C2/c, No. 15
- N(E_F): 0.000 states/eV per cell
- ΔE_f (raw): -11.41 eV per formula unit

Unit cell a=7.7029 b=7.7029 c=10.4679 alpha=103.67 beta=103.67 gamma=106.54
Closest atoms and distances in Å follow each position.
Sites, in units of the cell vectors:
K  0.1456  0.8544  0.7500  5 Br 3.32-3.35
K  0.8544  0.1456  0.2500  5 Br 3.32-3.35
Ho  0.5000  0.5000  0.0000  6 Br 2.80-2.81
Ho  0.5000  0.5000  0.5000  6 Br 2.80-2.81
Cu  0.1901  0.8099  0.2500  4 Br 2.46-2.50
Cu  0.8099  0.1901  0.7500  4 Br 2.46-2.50
Br  0.1202  0.2582  0.9314  1 Cu 2.50, 1 Ho 2.80
Br  0.1827  0.5888  0.3855  1 Cu 2.46
Br  0.2582  0.1202  0.4314  1 Cu 2.50, 1 Ho 2.80
Br  0.4112  0.8173  0.1145  1 Cu 2.46
Br  0.4165  0.5835  0.7500  2 Ho 2.81
Br  0.5835  0.4165  0.2500  2 Ho 2.81
Br  0.5888  0.1827  0.8855  1 Cu 2.46
Br  0.7418  0.8798  0.5686  1 Cu 2.50, 1 Ho 2.80
Br  0.8173  0.4112  0.6145  1 Cu 2.46
Br  0.8798  0.7418  0.0686  1 Cu 2.50, 1 Ho 2.80


No. 2
First-principles (PBE) data for a relaxed TlCrSi2 crystal, as listed in the Alexandria database.

Properties
- Energy: -5.30 eV/atom
- Magnetization: 0.389 μB per atom
- Symmetry: P4mm, No. 99
- N(E_F): 2.067 states/eV per cell
- ΔE_f (raw): 1.64 eV per formula unit

Unit cell a=3.1654 b=3.1654 c=7.1055 alpha=90.00 beta=90.00 gamma=90.00
Closest atoms and distances in Å follow each position.
Sites, in units of the cell vectors:
Tl  0.0000  0.0000  0.0000  4 Cr 3.13, 4 Tl 3.17, 5 Si 3.18-3.37
Cr  0.5000  0.5000  0.3082  5 Si 2.40-2.45
Si  0.0000  0.0000  0.4476  4 Cr 2.45, 4 Si 2.64
Si  0.5000  0.5000  0.6456  1 Cr 2.40, 4 Si 2.64


No. 3
First-principles (PBE) data for a relaxed LaTc3 crystal, as listed in the Alexandria database.

Properties
- Energy: -8.73 eV/atom
- Magnetization: 0.000 μB per atom
- Symmetry: Pmmn, No. 59
- E_form: 0.276 eV per atom
- N(E_F): 10.000 states/eV per cell

Unit cell a=4.0997 b=5.6449 c=7.0057 alpha=90.00 beta=90.00 gamma=90.00
Closest atoms and distances in Å follow each position.
Sites, in units of the cell vectors:
La  0.2500  0.2500  0.0937  8 Tc 3.15-3.39
La  0.7500  0.7500  0.9063  8 Tc 3.15-3.39
Tc  0.2500  0.5074  0.6139  7 Tc 2.60-2.91
Tc  0.2500  0.7500  0.2918  6 Tc 2.60-2.64
Tc  0.2500  0.9926  0.6139  7 Tc 2.60-2.91
Tc  0.7500  0.0074  0.3861  7 Tc 2.60-2.91
Tc  0.7500  0.2500  0.7082  6 Tc 2.60-2.64
Tc  0.7500  0.4926  0.3861  7 Tc 2.60-2.91